Entry 1:
! BaSnS2, optimized geometry, DFT GGA-PBE; values from VASP
&SYSTEM
  ibrav = 0, nat = 8, ntyp = 3
/
ATOMIC_SPECIES
Sn 118.71 Sn.upf
Ba 137.33 Ba.upf
S 32.06 S.upf
CELL_PARAMETERS angstrom
6.5549 0.0000 0.0000
0.0000 6.5549 0.0000
3.2774 3.2774 7.1579
ATOMIC_POSITIONS crystal
Sn 0.5000 0.5000 0.0000
Sn 0.2500 0.7500 0.5000
Ba 0.0000 0.0000 0.0000
Ba 0.7500 0.2500 0.5000
S 0.1609 0.6250 0.2500
S 0.3750 0.4109 0.7500
S 0.5891 0.1250 0.2500
S 0.8750 0.8391 0.7500
! - E_form (uncorrected) (meV/atom) = -1023
! - crystal system = tetragonal
! - total moment (μB per cell) = 0.00
! - space group = No. 122



Entry 2:
! BaSn3S6, optimized geometry, DFT GGA-PBE; values from VASP
&SYSTEM
  ibrav = 0, nat = 20, ntyp = 3
/
ATOMIC_SPECIES
S 32.06 S.upf
Sn 118.71 Sn.upf
Ba 137.33 Ba.upf
CELL_PARAMETERS angstrom
-1.0713 -3.2746 1.9262
-5.7228 -4.5649 -10.9431
11.2751 -2.0196 2.8373
ATOMIC_POSITIONS crystal
S 0.7500 0.6863 0.2241
S 0.7500 0.3214 0.0822
S 0.2500 0.5781 0.4002
S 0.7500 0.9405 0.0704
S 0.2500 0.2458 0.3007
S 0.2500 0.8946 0.5358
S 0.7500 0.7542 0.6993
S 0.2500 0.6786 0.9178
S 0.2500 0.3137 0.7759
S 0.2500 0.0595 0.9296
S 0.7500 0.4219 0.5998
S 0.7500 0.1054 0.4642
Sn 0.2500 0.2672 0.5385
Sn 0.7500 0.7328 0.4615
Sn 0.7500 0.1578 0.1314
Sn 0.2500 0.8422 0.8686
Sn 0.7500 0.5117 0.8630
Sn 0.2500 0.4883 0.1370
Ba 0.7500 0.1125 0.7476
Ba 0.2500 0.8875 0.2524
! - E_form (uncorrected) (meV/atom) = -699
! - crystal system = monoclinic
! - total moment (μB per cell) = 0.00
! - space group = No. 11



Entry 3:
! Ba3SnS6, optimized geometry, DFT GGA-PBE; values from VASP
&SYSTEM
  ibrav = 0, nat = 20, ntyp = 3
/
ATOMIC_SPECIES
Ba 137.33 Ba.upf
S 32.06 S.upf
Sn 118.71 Sn.upf
CELL_PARAMETERS angstrom
7.7688 0.0000 -0.0952
0.0000 8.0869 0.0000
-0.0449 0.0000 9.6900
ATOMIC_POSITIONS crystal
Ba 0.9797 0.4353 0.7483
Ba 0.5203 0.9353 0.7517
Ba 0.5000 0.5000 0.0000
Ba 0.0000 0.0000 0.5000
Ba 0.0203 0.5647 0.2517
Ba 0.4797 0.0647 0.2483
S 0.7646 0.6933 0.5648
S 0.3471 0.5841 0.7124
S 0.6529 0.4159 0.2876
S 0.7354 0.1933 0.9352
S 0.2646 0.8067 0.0648
S 0.8186 0.7382 0.9103
S 0.3186 0.7618 0.4103
S 0.2354 0.3067 0.4352
S 0.1814 0.2618 0.0897
S 0.6814 0.2382 0.5897
S 0.8471 0.9159 0.2124
S 0.1529 0.0841 0.7876
Sn 0.0000 0.0000 0.0000
Sn 0.5000 0.5000 0.5000
! - E_form (uncorrected) (meV/atom) = -1155
! - crystal system = monoclinic
! - total moment (μB per cell) = 3.99
! - space group = No. 14



Entry 4:
! BaSnS2, optimized geometry, DFT GGA-PBE; values from VASP
&SYSTEM
  ibrav = 0, nat = 4, ntyp = 3
/
ATOMIC_SPECIES
S 32.06 S.upf
Sn 118.71 Sn.upf
Ba 137.33 Ba.upf
CELL_PARAMETERS angstrom
4.3971 -0.0109 0.0365
0.0151 4.3992 -0.5024
-0.0523 -0.7966 6.1113
ATOMIC_POSITIONS crystal
S 0.7523 0.3228 0.9360
S 0.2525 0.5927 0.4976
Sn 0.7527 0.2423 0.5190
Ba 0.2523 0.8520 0.0403
! - E_form (uncorrected) (meV/atom) = -1278
! - crystal system = monoclinic
! - total moment (μB per cell) = 0.00
! - space group = No. 6



Entry 5:
! BaSnS3, optimized geometry, DFT GGA-PBE; values from VASP
&SYSTEM
  ibrav = 0, nat = 10, ntyp = 3
/
ATOMIC_SPECIES
S 32.06 S.upf
Sn 118.71 Sn.upf
Ba 137.33 Ba.upf
CELL_PARAMETERS angstrom
5.1542 -1.3339 3.5381
-2.5342 4.4341 3.9987
-1.2788 -0.9121 12.9537
ATOMIC_POSITIONS crystal
S 0.2363 0.4730 0.2869
S 0.0457 0.7468 0.5925
S 0.0574 0.7794 0.8710
S 0.7822 0.2752 0.8491
S 0.3214 0.2509 0.6143
S 0.8669 0.0528 0.1766
Sn 0.2021 0.4548 0.8333
Sn 0.9013 0.0715 0.6301
Ba 0.7602 0.4446 0.2667
Ba 0.3428 0.0809 0.1970
! - E_form (uncorrected) (meV/atom) = -930
! - crystal system = triclinic
! - total moment (μB per cell) = 0.00
! - space group = No. 2



Entry 6:
! BaSnS3, optimized geometry, DFT GGA-PBE; values from VASP
&SYSTEM
  ibrav = 0, nat = 20, ntyp = 3
/
ATOMIC_SPECIES
S 32.06 S.upf
Ba 137.33 Ba.upf
Sn 118.71 Sn.upf
CELL_PARAMETERS angstrom
-0.7851 -1.3478 -3.6767
7.1189 -4.8402 0.2541
-7.7950 -11.1627 5.7565
ATOMIC_POSITIONS crystal
S 0.7500 0.9726 0.6001
S 0.2500 0.6595 0.5022
S 0.2500 0.5274 0.1001
S 0.2500 0.2884 0.7092
S 0.2500 0.7884 0.7908
S 0.7500 0.3405 0.4978
S 0.7500 0.4726 0.8999
S 0.2500 0.0274 0.3999
S 0.7500 0.2116 0.2092
S 0.7500 0.7116 0.2908
S 0.7500 0.8405 0.0022
S 0.2500 0.1595 0.9978
Ba 0.2500 0.4242 0.3254
Ba 0.7500 0.0758 0.8254
Ba 0.7500 0.5758 0.6746
Ba 0.2500 0.9242 0.1746
Sn 0.7500 0.3314 0.0567
Sn 0.2500 0.6686 0.9433
Sn 0.7500 0.8314 0.4433
Sn 0.2500 0.1686 0.5567
! - E_form (uncorrected) (meV/atom) = -1099
! - crystal system = orthorhombic
! - total moment (μB per cell) = 0.00
! - space group = No. 62